1.
Density functional theory data (PBE) for crystalline K2TlAgHg at its relaxed geometry.

Cell and atoms, written as POSCAR:
```
K2TlAgHg
1.0
6.482 0.000 0.000
0.000 6.482 0.000
0.000 0.000 5.334
K Tl Ag Hg
2 1 1 1
Direct
0.000 0.500 0.000
0.500 0.000 0.000
0.000 0.000 0.500
0.000 0.000 0.000
0.500 0.500 0.500
```

Properties
Its formation energy from the elements is 1.2 kcal/mol of atoms.

=====

2.
Density functional theory data (PBE) for crystalline Pr4Nd2Dy2Tm at its relaxed geometry.

Cell and atoms, written as POSCAR:
```
Pr4Nd2Dy2Tm
1.0
7.753 -2.585 0.000
7.753 2.585 0.000
-2.594 0.000 7.691
Pr Nd Dy Tm
4 2 2 1
Direct
0.055 0.055 0.330
0.278 0.278 0.670
0.722 0.722 0.330
0.945 0.945 0.670
0.388 0.388 0.329
0.612 0.612 0.671
0.166 0.166 0.000
0.834 0.834 0.000
0.500 0.500 0.000
```

Properties
Its formation energy from the elements is 0.5 kcal/mol of atoms.

=====

3.
Density functional theory data (PBE) for crystalline Mg2In3Au at its relaxed geometry.

Cell and atoms, written as POSCAR:
```
Mg2In3Au
1.0
3.185 0.000 0.000
0.000 4.320 0.000
0.000 0.000 10.282
Mg In Au
2 3 1
Direct
0.000 0.000 0.000
0.000 0.500 0.439
0.500 0.000 0.625
0.500 0.500 0.160
0.500 0.500 0.835
0.500 0.000 0.345
```

Properties
Its formation energy from the elements is -3.3 kcal/mol of atoms.

=====

4.
Density functional theory data (PBE) for crystalline LaIn3Br6 at its relaxed geometry.

Cell and atoms, written as POSCAR:
```
LaIn3Br6
1.0
7.837 0.000 0.000
0.000 8.751 0.000
-7.062 0.000 11.400
La In Br
2 6 12
Direct
0.000 0.000 0.000
0.000 0.500 0.500
0.302 0.078 0.778
0.302 0.422 0.278
0.500 0.000 0.500
0.500 0.500 0.000
0.698 0.578 0.722
0.698 0.922 0.222
0.088 0.073 0.238
0.088 0.427 0.738
0.254 0.723 0.090
0.254 0.777 0.590
0.361 0.165 0.042
0.361 0.335 0.542
0.639 0.665 0.458
0.639 0.835 0.958
0.746 0.223 0.410
0.746 0.277 0.910
0.912 0.573 0.262
0.912 0.927 0.762
```

Properties
Its formation energy without anion corrections is -1.19 eV per atom.

=====

5.
Density functional theory data (PBE) for crystalline CePaSe at its relaxed geometry.

Cell and atoms, written as POSCAR:
```
CePaSe
1.0
5.778 0.000 0.000
0.000 5.729 0.000
-0.059 0.000 9.685
Ce Pa Se
4 4 4
Direct
0.249 0.000 0.325
0.251 0.500 0.675
0.749 0.500 0.325
0.751 0.000 0.675
0.215 0.500 0.058
0.285 0.000 0.942
0.715 0.000 0.058
0.785 0.500 0.942
0.249 0.500 0.363
0.251 0.000 0.637
0.749 0.000 0.363
0.751 0.500 0.637
```

Properties
The value obtained for the energy above the most stable polymorph in this dataset is 0 meV per atom. Its formation energy without anion corrections is -0.88 eV per atom.

=====

6.
Density functional theory data (PBE) for crystalline LaCe2DyTl4 at its relaxed geometry.

Cell and atoms, written as POSCAR:
```
LaCe2DyTl4
1.0
2.754 1.590 9.035
-2.754 1.590 9.035
0.000 -3.180 9.035
La Ce Dy Tl
1 2 1 4
Direct
0.000 0.000 0.000
0.249 0.249 0.249
0.751 0.751 0.751
0.500 0.500 0.500
0.127 0.127 0.127
0.377 0.377 0.377
0.623 0.623 0.623
0.873 0.873 0.873
```

Properties
Its formation energy from the elements is -6.6 kcal/mol of atoms.

=====

7.
Density functional theory data (PBE) for crystalline TlFeIr2 at its relaxed geometry.

Cell and atoms, written as POSCAR:
```
TlFeIr2
1.0
4.172 0.000 0.000
0.000 4.172 0.000
0.000 0.000 3.696
Tl Fe Ir
1 1 2
Direct
0.000 0.000 0.000
0.500 0.500 0.000
0.000 0.500 0.500
0.500 0.000 0.500
```

Properties
Its formation energy from the elements is 10.1 kcal/mol of atoms. The value obtained for the energy above the most stable polymorph in this dataset is 136 meV per atom.

=====

8.
Density functional theory data (PBE) for crystalline TbGa6Ru4 at its relaxed geometry.

Cell and atoms, written as POSCAR:
```
TbGa6Ru4
1.0
-3.269 3.269 4.711
3.269 -3.269 4.711
3.269 3.269 -4.711
Tb Ga Ru
1 6 4
Direct
0.000 0.000 0.000
0.000 0.500 0.500
0.107 0.478 0.000
0.478 0.107 0.000
0.500 0.000 0.500
0.522 0.522 0.628
0.893 0.893 0.372
0.253 0.253 0.671
0.417 0.747 0.000
0.583 0.583 0.329
0.747 0.417 0.000
```

Properties
Its formation energy from the elements is -5.0 kcal/mol of atoms.